No. 1
Crystalline SmHoEr2Sb4 at its relaxed geometry, computed with PBE-GGA.

Values from the calculation:
Theoretical density ... 7.90 g cm⁻³
DFT total energy ... -5.4808 eV/atom
Fermi-level density of states ... 1.11 states/eV/f.u.
Formation energy from raw total energies ... -8.934 eV per formula unit
SG ... P2/m (10)

Cell lengths 4.3892, 7.5971, 7.5976 Å; angles 70.53, 90.00, 90.00 degrees
Fractional positions:
Sm: 0.5000 0.5000 0.0000
Er: 0.0000 0.0000 0.0000
Ho: 0.0000 0.5000 0.5000
Er: 0.5000 0.0000 0.5000
Sb: 0.5000 0.2467 0.7480
Sb: 0.0000 0.7557 0.7451
Sb: 0.5000 0.7533 0.2519
Sb: 0.0000 0.2443 0.2549

***

No. 2
Crystalline ZrBe4As at its relaxed geometry, computed with PBE-GGA.

Values from the calculation:
Theoretical density ... 4.51 g cm⁻³
DFT total energy ... -4.5116 eV/atom
Fermi-level density of states ... 5.03 states/eV/f.u.
SG ... F-43m (216)

Cell lengths 4.7209, 4.7209, 4.7209 Å; angles 60.00, 60.00, 60.00 degrees
Fractional positions:
Be: 0.3778 0.8667 0.3778
Be: 0.3778 0.3778 0.3778
Be: 0.8667 0.3778 0.3778
As: 0.0000 0.0000 0.0000
Be: 0.3778 0.3778 0.8667
Zr: 0.7500 0.7500 0.7500